[1]
Entry from Alexandria via LeMat-Bulk: a relaxed structure of Li10Mn3Cr3Fe2O16 (PBE+U).

Values from the calculation:
Electronic total energy (eV/atom): -6.35
Size of the total moment (μB per formula unit): 28.97

Lattice parameters (Å, degrees): 5.9427 6.0670 9.9512 91.07 90.75 119.07
Atoms (fractional coordinates):
O: 0.8649 0.6975 0.5992
O: 0.1459 0.2966 0.1032
O: 0.3524 0.7038 0.5919
O: 0.6761 0.3332 0.0924
O: 0.4980 0.9905 0.8291
O: 0.0066 0.9781 0.8309
O: 0.3349 0.2049 0.5888
O: 0.1467 0.8253 0.1071
O: 0.0280 0.4923 0.8393
O: 0.9696 0.4799 0.3346
O: 0.5068 0.5145 0.8247
O: 0.8492 0.1700 0.6093
O: 0.4918 0.4853 0.3245
O: 0.4929 0.0141 0.3271
O: 0.9567 0.9731 0.3312
O: 0.6665 0.8288 0.0969
Li: 0.8144 0.2017 0.9455
Li: 0.2106 0.4080 0.4491
Li: 0.3955 0.2087 0.9396
Li: 0.6800 0.3353 0.7237
Li: 0.6086 0.8118 0.4300
Li: 0.0026 0.0131 0.5163
Li: 0.9907 0.9810 0.0173
Li: 0.1834 0.8015 0.4376
Li: 0.3040 0.6436 0.2215
Li: 0.8180 0.6023 0.9385
Fe: 0.6639 0.3390 0.4737
Fe: 0.3419 0.6723 0.9735
Mn: 0.3213 0.1569 0.2161
Mn: 0.1806 0.8398 0.7136
Mn: 0.1801 0.3454 0.7159
Cr: 0.8157 0.6509 0.2140
Cr: 0.8170 0.1559 0.2148
Cr: 0.6762 0.8396 0.7144

***

[2]
Entry from Alexandria via LeMat-Bulk: a relaxed structure of Li4Mn3Cr3Fe2O16 (PBE+U).

Values from the calculation:
Electronic total energy (eV/atom): -6.83
Size of the total moment (μB per formula unit): 27.00

Lattice parameters (Å, degrees): 5.8664 5.8709 9.5327 90.15 90.34 119.91
Atoms (fractional coordinates):
Li: 0.6705 0.3445 0.1068
Li: 0.9961 0.9929 0.0030
Li: 0.9967 0.9960 0.5037
Li: 0.3415 0.6713 0.6066
Fe: 0.3244 0.6635 0.0100
Fe: 0.6633 0.3255 0.5087
Mn: 0.1690 0.8324 0.2855
Mn: 0.8325 0.6584 0.7842
Mn: 0.6613 0.8326 0.2848
O: 0.8382 0.6751 0.3951
O: 0.9664 0.4798 0.6673
O: 0.5285 0.4861 0.6606
O: 0.1565 0.8318 0.9000
O: 0.9932 0.9881 0.6893
O: 0.9941 0.9921 0.1899
O: 0.3400 0.6793 0.3916
O: 0.0374 0.5291 0.1639
O: 0.3221 0.1541 0.4010
O: 0.5304 0.0384 0.6653
O: 0.6733 0.8387 0.8945
O: 0.6747 0.3430 0.8940
O: 0.1506 0.3216 0.8984
O: 0.8324 0.1558 0.3999
O: 0.4874 0.5297 0.1622
O: 0.4817 0.9680 0.1665
Cr: 0.1691 0.3396 0.2860
Cr: 0.8298 0.1638 0.7878
Cr: 0.3392 0.1687 0.7855